First-principles (GGA-PBE) data for a relaxed LiCuSnF6 crystal, as listed in the Alexandria database.

For the density of states at the Fermi level, the calculation gives 9.50 states/eV/cell. As for the space group: P-31c (163). The uncorrected formation energy comes out at -2.236 eV/atom.

a = 5.3273 Å, b = 5.3273 Å, c = 9.4063 Å
α = 90.00°, β = 90.00°, γ = 120.00°
Closest atoms and distances in Å follow each position.
Positions (direct):
Li (0.3333, 0.6667, 0.2500)  6 F 2.08
Li (0.6667, 0.3333, 0.7500)  6 F 2.08
Cu (0.0000, 0.0000, 0.0000)  6 F 2.24
Cu (0.0000, 0.0000, 0.5000)  6 F 2.24
Sn (0.3333, 0.6667, 0.7500)  6 F 2.04
Sn (0.6667, 0.3333, 0.2500)  6 F 2.04
F (0.0057, 0.3508, 0.6333)  1 Sn 2.04, 1 Li 2.08, 1 Cu 2.24
F (0.0057, 0.6549, 0.8667)  1 Sn 2.04, 1 Li 2.08, 1 Cu 2.24
F (0.3451, 0.3508, 0.8667)  1 Sn 2.04, 1 Li 2.08, 1 Cu 2.24
F (0.3451, 0.9943, 0.6333)  1 Sn 2.04, 1 Li 2.08, 1 Cu 2.24
F (0.3508, 0.0057, 0.1333)  1 Sn 2.04, 1 Li 2.08, 1 Cu 2.24
F (0.3508, 0.3451, 0.3667)  1 Sn 2.04, 1 Li 2.08, 1 Cu 2.24
F (0.6492, 0.6549, 0.6333)  1 Sn 2.04, 1 Li 2.08, 1 Cu 2.24
F (0.6492, 0.9943, 0.8667)  1 Sn 2.04, 1 Li 2.08, 1 Cu 2.24
F (0.6549, 0.0057, 0.3667)  1 Sn 2.04, 1 Li 2.08, 1 Cu 2.24
F (0.6549, 0.6492, 0.1333)  1 Sn 2.04, 1 Li 2.08, 1 Cu 2.24
F (0.9943, 0.3451, 0.1333)  1 Sn 2.04, 1 Li 2.08, 1 Cu 2.24
F (0.9943, 0.6492, 0.3667)  1 Sn 2.04, 1 Li 2.08, 1 Cu 2.24


First-principles (GGA-PBE) data for a relaxed Li2CuSnF8 crystal, as listed in the Alexandria database.

As for the space group: C2/m (12). The uncorrected formation energy comes out at -2.400 eV/atom.

a = 4.7351 Å, b = 4.7351 Å, c = 6.4836 Å
α = 91.11°, β = 91.11°, γ = 86.62°
Closest atoms and distances in Å follow each position.
Positions (direct):
Li (0.0006, 0.0006, 0.2699)  6 F 2.03-2.17
Li (0.9994, 0.9994, 0.7301)  6 F 2.03-2.17
Cu (0.5000, 0.5000, 0.5000)  2 F 1.88
Sn (0.5000, 0.5000, 0.0000)  6 F 1.98-2.04
F (0.1956, 0.8044, 0.0000)  1 Sn 1.98, 2 Li 2.16
F (0.2111, 0.7889, 0.5000)  1 Cu 1.88, 2 Li 2.03
F (0.2954, 0.2954, 0.7750)  1 Sn 2.00, 1 Li 2.05
F (0.3128, 0.3128, 0.2381)  1 Sn 2.04, 1 Cu 2.10, 1 Li 2.17
F (0.6872, 0.6872, 0.7619)  1 Sn 2.04, 1 Cu 2.10, 1 Li 2.17
F (0.7046, 0.7046, 0.2250)  1 Sn 2.00, 1 Li 2.05
F (0.7889, 0.2111, 0.5000)  1 Cu 1.88, 2 Li 2.03
F (0.8044, 0.1956, 0.0000)  1 Sn 1.98, 2 Li 2.16


First-principles (GGA-PBE) data for a relaxed SrLiCuF6 crystal, as listed in the Alexandria database.

As for the space group: P312 (149). The uncorrected formation energy comes out at -2.617 eV/atom.

a = 5.2136 Å, b = 5.2136 Å, c = 5.2361 Å
α = 90.00°, β = 90.00°, γ = 120.00°
Closest atoms and distances in Å follow each position.
Positions (direct):
Sr (0.0000, 0.0000, 0.0000)  6 F 2.45
Li (0.3333, 0.6667, 0.5000)  6 F 2.04
Cu (0.6667, 0.3333, 0.5000)  6 F 1.93
F (0.3776, 0.0165, 0.7102)  1 Cu 1.93, 1 Li 2.04
F (0.3776, 0.3611, 0.2898)  1 Cu 1.93, 1 Li 2.04
F (0.6389, 0.0165, 0.2898)  1 Cu 1.93, 1 Li 2.04
F (0.6389, 0.6224, 0.7102)  1 Cu 1.93, 1 Li 2.04
F (0.9835, 0.3611, 0.7102)  1 Cu 1.93, 1 Li 2.04
F (0.9835, 0.6224, 0.2898)  1 Cu 1.93, 1 Li 2.04


First-principles (GGA-PBE) data for a relaxed SrLi2CuF8 crystal, as listed in the Alexandria database.

For the density of states at the Fermi level, the calculation gives 4.27 states/eV/cell. As for the space group: P-1 (2). The uncorrected formation energy comes out at -2.382 eV/atom.

a = 4.5062 Å, b = 4.7381 Å, c = 7.1701 Å
α = 83.29°, β = 89.68°, γ = 89.78°
Closest atoms and distances in Å follow each position.
Positions (direct):
Sr (0.0000, 0.0000, 0.0000)  8 F 2.47-2.72
Li (0.4797, 0.4764, 0.6981)  5 F 1.97-2.05
Li (0.5203, 0.5236, 0.3019)  5 F 1.97-2.05
Cu (0.0000, 0.0000, 0.5000)  6 F 1.86-1.98
F (0.1585, 0.7554, 0.7197)  1 Li 1.97, 1 Cu 1.98
F (0.1730, 0.7997, 0.3170)  1 Cu 1.87, 1 Li 2.05
F (0.3154, 0.2538, 0.4972)  1 Cu 1.86, 2 Li 2.01-2.03
F (0.4668, 0.2721, 0.9553)  1 Li 1.98
F (0.5332, 0.7279, 0.0447)  1 Li 1.98
F (0.6846, 0.7462, 0.5028)  1 Cu 1.86, 2 Li 2.01-2.03
F (0.8270, 0.2003, 0.6830)  1 Cu 1.87, 1 Li 2.05
F (0.8415, 0.2446, 0.2803)  1 Li 1.97, 1 Cu 1.98


First-principles (GGA-PBE) data for a relaxed SrLi4Cu3F12 crystal, as listed in the Alexandria database.

As for the space group: Im-3 (204). The uncorrected formation energy comes out at -2.467 eV/atom.

a = 6.5459 Å, b = 6.5459 Å, c = 6.5459 Å
α = 109.47°, β = 109.47°, γ = 109.47°
Closest atoms and distances in Å follow each position.
Positions (direct):
Sr (0.0000, 0.0000, 0.0000)  12 F 2.68
Li (0.0000, 0.0000, 0.5000)  6 F 2.03
Li (0.0000, 0.5000, 0.0000)  6 F 2.03
Li (0.5000, 0.0000, 0.0000)  6 F 2.03
Li (0.5000, 0.5000, 0.5000)  6 F 2.03
Cu (0.0000, 0.5000, 0.5000)  4 F 1.93
Cu (0.5000, 0.0000, 0.5000)  4 F 1.93
Cu (0.5000, 0.5000, 0.0000)  4 F 1.93
F (0.1398, 0.8293, 0.3105)  1 Cu 1.93, 2 Li 2.03
F (0.1707, 0.3105, 0.4813)  1 Cu 1.93, 2 Li 2.03
F (0.1707, 0.6895, 0.8602)  1 Cu 1.93, 2 Li 2.03
F (0.3105, 0.1398, 0.8293)  1 Cu 1.93, 2 Li 2.03
F (0.3105, 0.4813, 0.1707)  1 Cu 1.93, 2 Li 2.03
F (0.4813, 0.1707, 0.3105)  1 Cu 1.93, 2 Li 2.03
F (0.5187, 0.8293, 0.6895)  1 Cu 1.93, 2 Li 2.03
F (0.6895, 0.5187, 0.8293)  1 Cu 1.93, 2 Li 2.03
F (0.6895, 0.8602, 0.1707)  1 Cu 1.93, 2 Li 2.03
F (0.8293, 0.3105, 0.1398)  1 Cu 1.93, 2 Li 2.03
F (0.8293, 0.6895, 0.5187)  1 Cu 1.93, 2 Li 2.03
F (0.8602, 0.1707, 0.6895)  1 Cu 1.93, 2 Li 2.03


First-principles (GGA-PBE) data for a relaxed LiCuTcF2 crystal, as listed in the Alexandria database.

For the density of states at the Fermi level, the calculation gives 4.23 states/eV/cell. As for the space group: P4/mmm (123). The uncorrected formation energy comes out at -0.041 eV/atom.

a = 3.8963 Å, b = 3.8963 Å, c = 5.2077 Å
α = 90.00°, β = 90.00°, γ = 90.00°
Closest atoms and distances in Å follow each position.
Positions (direct):
Li (0.0000, 0.0000, 0.0000)  2 Cu 2.60, 4 Tc 2.76
Cu (0.0000, 0.0000, 0.5000)  4 F 1.95
Tc (0.5000, 0.5000, 0.0000)  4 Li 2.76
F (0.0000, 0.5000, 0.5000)  2 Cu 1.95
F (0.5000, 0.0000, 0.5000)  2 Cu 1.95


First-principles (GGA-PBE) data for a relaxed LiTiCuF6 crystal, as listed in the Alexandria database.

As for the space group: P-31c (163). The uncorrected formation energy comes out at -2.763 eV/atom.

a = 5.1463 Å, b = 5.1463 Å, c = 9.2619 Å
α = 90.00°, β = 90.00°, γ = 120.00°
Closest atoms and distances in Å follow each position.
Positions (direct):
Li (0.3333, 0.6667, 0.2500)  6 F 2.04
Li (0.6667, 0.3333, 0.7500)  6 F 2.04
Ti (0.3333, 0.6667, 0.7500)  6 F 1.91
Ti (0.6667, 0.3333, 0.2500)  6 F 1.91
Cu (0.0000, 0.0000, 0.0000)  6 F 2.21
Cu (0.0000, 0.0000, 0.5000)  6 F 2.21
F (0.0194, 0.3625, 0.6351)  1 Ti 1.91, 1 Li 2.04
F (0.0194, 0.6569, 0.8649)  1 Ti 1.91, 1 Li 2.04
F (0.3431, 0.3625, 0.8649)  1 Ti 1.91, 1 Li 2.04
F (0.3431, 0.9806, 0.6351)  1 Ti 1.91, 1 Li 2.04
F (0.3625, 0.0194, 0.1351)  1 Ti 1.91, 1 Li 2.04
F (0.3625, 0.3431, 0.3649)  1 Ti 1.91, 1 Li 2.04
F (0.6375, 0.6569, 0.6351)  1 Ti 1.91, 1 Li 2.04
F (0.6375, 0.9806, 0.8649)  1 Ti 1.91, 1 Li 2.04
F (0.6569, 0.0194, 0.3649)  1 Ti 1.91, 1 Li 2.04
F (0.6569, 0.6375, 0.1351)  1 Ti 1.91, 1 Li 2.04
F (0.9806, 0.3431, 0.1351)  1 Ti 1.91, 1 Li 2.04
F (0.9806, 0.6375, 0.3649)  1 Ti 1.91, 1 Li 2.04


First-principles (GGA-PBE) data for a relaxed Li2Tl2CuF6 crystal, as listed in the Alexandria database.

For the density of states at the Fermi level, the calculation gives 6.37 states/eV/cell. As for the space group: R-3m (166). The uncorrected formation energy comes out at -2.059 eV/atom.

a = 6.4744 Å, b = 6.4744 Å, c = 6.4744 Å
α = 54.89°, β = 54.89°, γ = 54.89°
Closest atoms and distances in Å follow each position.
Positions (direct):
Li (0.0958, 0.0958, 0.0958)  3 F 1.82
Li (0.9042, 0.9042, 0.9042)  3 F 1.82
Tl (0.2879, 0.2879, 0.2879)  9 F 2.75-3.07
Tl (0.7121, 0.7121, 0.7121)  9 F 2.75-3.07
Cu (0.5000, 0.5000, 0.5000)  6 F 2.07
F (0.2614, 0.7350, 0.7350)  1 Li 1.82
F (0.2650, 0.2650, 0.7386)  1 Li 1.82
F (0.2650, 0.7386, 0.2650)  1 Li 1.82
F (0.7350, 0.2614, 0.7350)  1 Li 1.82
F (0.7350, 0.7350, 0.2614)  1 Li 1.82
F (0.7386, 0.2650, 0.2650)  1 Li 1.82


First-principles (GGA-PBE) data for a relaxed Li2TlCuF6 crystal, as listed in the Alexandria database.

For the density of states at the Fermi level, the calculation gives 3.92 states/eV/cell. As for the space group: P2_1/c (14). The uncorrected formation energy comes out at -2.112 eV/atom.

a = 5.4272 Å, b = 5.4822 Å, c = 9.7662 Å
α = 90.00°, β = 119.88°, γ = 90.00°
Closest atoms and distances in Å follow each position.
Positions (direct):
Li (0.2243, 0.0002, 0.2512)  4 F 1.94-1.97
Li (0.2243, 0.4998, 0.7512)  4 F 1.94-1.97
Li (0.7757, 0.9998, 0.7488)  4 F 1.94-1.97
Li (0.7757, 0.5002, 0.2488)  4 F 1.94-1.97
Tl (0.0000, 0.0000, 0.5000)  6 F 2.35-2.43
Tl (0.0000, 0.5000, 0.0000)  6 F 2.35-2.43
Cu (0.5000, 0.0000, 0.0000)  4 F 1.95
Cu (0.5000, 0.5000, 0.5000)  4 F 1.95
F (0.0959, 0.1655, 0.7520)  2 Li 1.95-1.96
F (0.0959, 0.3345, 0.2520)  2 Li 1.95-1.96
F (0.2679, 0.6377, 0.5815)  1 Li 1.94, 1 Cu 1.95
F (0.2679, 0.8623, 0.0815)  1 Li 1.94, 1 Cu 1.95
F (0.4589, 0.1881, 0.5827)  1 Cu 1.95, 1 Li 1.97
F (0.4589, 0.3119, 0.0827)  1 Cu 1.95, 1 Li 1.97
F (0.5411, 0.6881, 0.9173)  1 Cu 1.95, 1 Li 1.97
F (0.5411, 0.8119, 0.4173)  1 Cu 1.95, 1 Li 1.97
F (0.7321, 0.1377, 0.9185)  1 Li 1.94, 1 Cu 1.95
F (0.7321, 0.3623, 0.4185)  1 Li 1.94, 1 Cu 1.95
F (0.9041, 0.6655, 0.7480)  2 Li 1.95-1.96
F (0.9041, 0.8345, 0.2480)  2 Li 1.95-1.96


First-principles (GGA-PBE) data for a relaxed Li2TlCuF8 crystal, as listed in the Alexandria database.

For the density of states at the Fermi level, the calculation gives 2.07 states/eV/cell. As for the space group: I-4m2 (119). The uncorrected formation energy comes out at -1.954 eV/atom.

a = 5.9381 Å, b = 5.9381 Å, c = 5.9381 Å
α = 113.06°, β = 113.06°, γ = 102.51°
Closest atoms and distances in Å follow each position.
Positions (direct):
Li (0.0000, 0.0000, 0.0000)  4 F 2.14
Li (0.7500, 0.2500, 0.5000)  4 F 1.83
Tl (0.5000, 0.5000, 0.0000)  4 F 2.10
Cu (0.2500, 0.7500, 0.5000)  4 F 1.84
F (0.0107, 0.7887, 0.2221)  1 Cu 1.84
F (0.1203, 0.4323, 0.6880)  1 Li 1.83
F (0.2113, 0.4334, 0.2221)  1 Cu 1.84
F (0.2113, 0.9893, 0.7779)  1 Cu 1.84
F (0.5666, 0.7887, 0.7779)  1 Cu 1.84
F (0.5677, 0.2558, 0.6880)  1 Li 1.83
F (0.5677, 0.8797, 0.3120)  1 Li 1.83
F (0.7442, 0.4323, 0.3120)  1 Li 1.83


First-principles (GGA-PBE) data for a relaxed Li4TlCu3F12 crystal, as listed in the Alexandria database.

For the density of states at the Fermi level, the calculation gives 2.40 states/eV/cell. As for the space group: Im-3 (204). The uncorrected formation energy comes out at -2.119 eV/atom.

a = 6.5687 Å, b = 6.5687 Å, c = 6.5687 Å
α = 109.47°, β = 109.47°, γ = 109.47°
Closest atoms and distances in Å follow each position.
Positions (direct):
Li (0.0000, 0.0000, 0.5000)  6 F 2.05
Li (0.0000, 0.5000, 0.0000)  6 F 2.05
Li (0.5000, 0.0000, 0.0000)  6 F 2.05
Li (0.5000, 0.5000, 0.5000)  6 F 2.05
Tl (0.0000, 0.0000, 0.0000)  12 F 2.73
Cu (0.0000, 0.5000, 0.5000)  4 F 1.92
Cu (0.5000, 0.0000, 0.5000)  4 F 1.92
Cu (0.5000, 0.5000, 0.0000)  4 F 1.92
F (0.1425, 0.8273, 0.3152)  1 Cu 1.92, 2 Li 2.05
F (0.1727, 0.3152, 0.4879)  1 Cu 1.92, 2 Li 2.05
F (0.1727, 0.6848, 0.8575)  1 Cu 1.92, 2 Li 2.05
F (0.3152, 0.1425, 0.8273)  1 Cu 1.92, 2 Li 2.05
F (0.3152, 0.4879, 0.1727)  1 Cu 1.92, 2 Li 2.05
F (0.4879, 0.1727, 0.3152)  1 Cu 1.92, 2 Li 2.05
F (0.5121, 0.8273, 0.6848)  1 Cu 1.92, 2 Li 2.05
F (0.6848, 0.5121, 0.8273)  1 Cu 1.92, 2 Li 2.05
F (0.6848, 0.8575, 0.1727)  1 Cu 1.92, 2 Li 2.05
F (0.8273, 0.3152, 0.1425)  1 Cu 1.92, 2 Li 2.05
F (0.8273, 0.6848, 0.5121)  1 Cu 1.92, 2 Li 2.05
F (0.8575, 0.1727, 0.6848)  1 Cu 1.92, 2 Li 2.05


First-principles (GGA-PBE) data for a relaxed LiTmCuF6 crystal, as listed in the Alexandria database.

For the density of states at the Fermi level, the calculation gives 12.43 states/eV/cell. As for the space group: P4_2nm (102). The uncorrected formation energy comes out at -2.962 eV/atom.

a = 4.8602 Å, b = 4.8602 Å, c = 9.7232 Å
α = 90.00°, β = 90.00°, γ = 90.00°
Closest atoms and distances in Å follow each position.
Positions (direct):
Li (0.0000, 0.0000, 0.0000)  6 F 2.05-2.20
Li (0.5000, 0.5000, 0.5000)  6 F 2.05-2.20
Tm (0.0000, 0.0000, 0.6615)  6 F 2.13-2.17
Tm (0.5000, 0.5000, 0.1615)  6 F 2.13-2.17
Cu (0.0000, 0.0000, 0.3283)  6 F 2.00-2.10
Cu (0.5000, 0.5000, 0.8283)  6 F 2.00-2.10
F (0.1894, 0.1894, 0.1624)  1 Li 2.05, 1 Cu 2.07, 1 Tm 2.13
F (0.2005, 0.2005, 0.4913)  1 Li 2.06, 1 Cu 2.10, 1 Tm 2.15
F (0.2085, 0.2085, 0.8288)  1 Cu 2.00, 1 Tm 2.17, 1 Li 2.20
F (0.2915, 0.7085, 0.3288)  1 Cu 2.00, 1 Tm 2.17, 1 Li 2.20
F (0.2995, 0.7005, 0.9913)  1 Li 2.06, 1 Cu 2.10, 1 Tm 2.15
F (0.3106, 0.6894, 0.6624)  1 Li 2.05, 1 Cu 2.07, 1 Tm 2.13
F (0.6894, 0.3106, 0.6624)  1 Li 2.05, 1 Cu 2.07, 1 Tm 2.13
F (0.7005, 0.2995, 0.9913)  1 Li 2.06, 1 Cu 2.10, 1 Tm 2.15
F (0.7085, 0.2915, 0.3288)  1 Cu 2.00, 1 Tm 2.17, 1 Li 2.20
F (0.7915, 0.7915, 0.8288)  1 Cu 2.00, 1 Tm 2.17, 1 Li 2.20
F (0.7995, 0.7995, 0.4913)  1 Li 2.06, 1 Cu 2.10, 1 Tm 2.15
F (0.8106, 0.8106, 0.1624)  1 Li 2.05, 1 Cu 2.07, 1 Tm 2.13